[1]
A geometry-optimized LiBiMo2 structure, computed with GGA-PBE.

```
LiBiMo2
1.0
3.050 -2.689 -2.097
3.017 -2.395 2.469
-0.381 -4.550 0.290
Mo Li Bi
2 1 1
Direct
0.000 0.000 0.000
0.750 0.750 0.750
0.250 0.250 0.250
0.500 0.500 0.500
```

* VASP energy: -6.58 eV/atom
* M_tot: 0.0 μB per cell


[2]
A geometry-optimized GeAsAuO structure, computed with GGA-PBE.

```
GeAsAuO
1.0
3.963 0.000 0.000
0.000 9.053 0.000
0.000 0.000 4.493
O As Au Ge
2 2 2 2
Direct
0.500 0.574 0.897
0.500 0.426 0.397
0.000 0.220 0.928
0.000 0.780 0.428
0.000 0.904 0.927
0.000 0.096 0.427
0.500 0.381 0.002
0.500 0.619 0.502
```

* VASP energy: -4.89 eV/atom
* distance to the lowest polymorph of the same formula: 0 meV/atom


[3]
A geometry-optimized GdS structure, computed with GGA-PBE.

```
GdS
1.0
3.947 0.000 0.000
-1.973 3.418 0.000
0.000 0.000 9.656
S Gd
3 3
Direct
0.667 0.333 0.167
0.333 0.667 0.833
0.000 0.000 0.500
0.000 0.000 0.000
0.333 0.667 0.334
0.667 0.333 0.666
```

* VASP energy: -6.41 eV/atom
* M_tot: 0.0 μB per cell


[4]
A geometry-optimized ZrTaBeTc structure, computed with GGA-PBE.

```
ZrTaBeTc
1.0
1.188 -4.260 0.752
-3.042 -3.276 -0.372
0.233 -2.900 -3.414
Ta Be Zr Tc
1 1 1 1
Direct
0.250 0.250 0.250
0.750 0.750 0.750
0.000 0.000 0.000
0.500 0.500 0.500
```

* VASP energy: -8.60 eV/atom
* distance to the lowest polymorph of the same formula: 131 meV/atom
* M_tot: 0.0 μB per cell


[5]
A geometry-optimized GaAgOs structure, computed with GGA-PBE.

```
GaAgOs
1.0
0.000 3.045 3.045
3.045 0.000 3.045
3.045 3.045 0.000
Os Ag Ga
1 1 1
Direct
0.000 0.000 0.000
0.250 0.250 0.250
0.750 0.750 0.750
```

* VASP energy: -4.90 eV/atom
* distance to the lowest polymorph of the same formula: 0 meV/atom
* M_tot: 0.8 μB per cell


[6]
A geometry-optimized TaNbNO structure, computed with GGA-PBE.

```
TaNbNO
1.0
-1.896 -0.065 -4.988
-3.701 -5.929 1.485
-3.982 2.855 1.476
N O Ta Nb
4 4 4 4
Direct
0.194 0.821 0.689
0.694 0.179 0.689
0.306 0.821 0.189
0.806 0.179 0.189
0.875 0.580 0.063
0.375 0.420 0.063
0.625 0.580 0.563
0.125 0.420 0.563
0.471 0.314 0.443
0.029 0.314 0.943
0.971 0.686 0.443
0.529 0.686 0.943
0.949 0.906 0.008
0.051 0.094 0.508
0.551 0.906 0.508
0.449 0.094 0.008
```

* VASP energy: -10.03 eV/atom
* distance to the lowest polymorph of the same formula: 27 meV/atom
* M_tot: 0.0 μB per cell


[7]
A geometry-optimized DyHo2Fe9 structure, computed with GGA-PBE.

```
DyHo2Fe9
1.0
-6.146 0.999 5.844
-1.855 2.655 7.901
-4.415 5.592 4.707
Fe Ho Dy
9 2 1
Direct
0.333 0.333 0.333
0.081 0.582 0.582
0.582 0.081 0.582
0.919 0.418 0.418
0.500 0.500 0.500
0.418 0.418 0.919
0.667 0.667 0.667
0.418 0.919 0.418
0.582 0.582 0.081
0.858 0.858 0.858
0.142 0.142 0.142
0.000 0.000 0.000
```

* VASP energy: -7.46 eV/atom
* M_tot: 15.9 μB per cell


[8]
A geometry-optimized PaSnNO structure, computed with GGA-PBE.

```
PaSnNO
1.0
4.489 0.000 0.000
0.000 4.489 0.000
0.000 0.000 7.123
Pa N O Sn
2 2 2 2
Direct
0.000 0.000 0.500
0.500 0.500 0.500
0.000 0.500 0.385
0.500 0.000 0.615
0.500 0.500 0.000
0.000 0.000 0.000
0.000 0.500 0.903
0.500 0.000 0.097
```

* VASP energy: -6.94 eV/atom
* distance to the lowest polymorph of the same formula: 641 meV/atom
* M_tot: 2.2 μB per cell